Record 1
Entry from the Alexandria database: an optimized crystal structure of SrAc3Mg8 (GGA-PBE).

Values from the calculation:
- Space-group type: P3m1, No. 156
- Energy of formation from the pure elements: -0.101 eV per atom

Cell lengths 6.399, 6.399, 10.384 Å; angles 90.00, 90.00, 120.00 degrees
Element x y z (fractional)
Sr1 0.000 0.000 0.000
Ac1 0.000 0.000 0.381
Ac2 0.667 0.333 0.492
Ac3 0.667 0.333 0.864
Mg1 0.167 0.333 0.684
Mg2 0.167 0.833 0.684
Mg3 0.333 0.667 0.432
Mg4 0.333 0.667 0.933
Mg5 0.502 0.003 0.185
Mg6 0.502 0.498 0.185
Mg7 0.667 0.833 0.684
Mg8 0.997 0.498 0.185

Record 2
Entry from the Alexandria database: an optimized crystal structure of Tb2TmIr3 (GGA-PBE).

Values from the calculation:
- Relative energy among the computed polymorphs: 0 meV/atom
- Space-group type: P-3m1, No. 164
- Energy of formation from the pure elements: -0.822 eV per atom

Cell lengths 4.843, 4.843, 11.854 Å; angles 90.00, 90.00, 120.00 degrees
Element x y z (fractional)
Tb1 0.000 0.000 0.000
Tb2 0.000 0.000 0.500
Tb3 0.333 0.667 0.168
Tb4 0.667 0.333 0.832
Tm1 0.333 0.667 0.666
Tm2 0.667 0.333 0.334
Ir1 0.000 0.000 0.252
Ir2 0.000 0.000 0.748
Ir3 0.333 0.667 0.417
Ir4 0.333 0.667 0.915
Ir5 0.667 0.333 0.085
Ir6 0.667 0.333 0.583

Record 3
Entry from the Alexandria database: an optimized crystal structure of CoRuSN2 (GGA-PBE).

Values from the calculation:
- ΔE_f (raw): 0.9992 eV per atom
- Relative energy among the computed polymorphs: 0 meV/atom
- Space-group type: P4/mmm, No. 123

Cell lengths 3.718, 3.718, 5.262 Å; angles 90.00, 90.00, 90.00 degrees
Element x y z (fractional)
Co1 0.000 0.000 0.000
Ru1 0.500 0.500 0.500
S1 0.500 0.500 0.000
N1 0.000 0.500 0.500
N2 0.500 0.000 0.500

Record 4
Entry from the Alexandria database: an optimized crystal structure of ReRh7 (GGA-PBE).

Values from the calculation:
- Relative energy among the computed polymorphs: 18 meV/atom
- Space-group type: C2/m, No. 12
- Energy of formation from the pure elements: -0.043 eV per atom

Cell lengths 8.608, 3.847, 7.685 Å; angles 90.00, 116.49, 90.00 degrees
Element x y z (fractional)
Re1 0.000 0.000 0.000
Re2 0.500 0.500 0.000
Rh1 0.000 0.000 0.500
Rh2 0.002 0.500 0.246
Rh3 0.248 0.000 0.372
Rh4 0.248 0.500 0.122
Rh5 0.252 0.000 0.878
Rh6 0.252 0.500 0.628
Rh7 0.498 0.000 0.754
Rh8 0.500 0.500 0.500
Rh9 0.502 0.000 0.246
Rh10 0.748 0.000 0.122
Rh11 0.748 0.500 0.372
Rh12 0.752 0.000 0.628
Rh13 0.752 0.500 0.878
Rh14 0.998 0.500 0.754

| no. | uncorrected energy (eV per atom) |
| --- | --- |
| 1 | -2.33 |
| 2 | -7.54 |
| 3 | -6.43 |
| 4 | -8.03 |